A.
5
Lattice="4.386 0.000 0.000 0.000 4.386 0.000 0.000 0.000 3.929" Properties=species:S:1:pos:R:3 comment="VPS2O (GGA+U, optimized geometry)" total_magnetization_mub_per_fu=1.570 dos_ef_per_ev_cell=3.120 pbc="T T T"
V 0.000 0.000 0.000
P 2.193 2.193 0.000
S 0.000 2.193 1.964
S 2.193 0.000 1.964
O 2.193 2.193 1.964

---

B.
5
Lattice="4.377 0.000 0.000 0.000 4.377 0.000 0.000 0.000 4.706" Properties=species:S:1:pos:R:3 comment="VPS2O (GGA+U, optimized geometry)" total_magnetization_mub_per_fu=0.000 dos_ef_per_ev_cell=4.892 pbc="T T T"
V 0.000 0.000 0.000
P 0.000 0.000 2.353
S 0.000 2.188 0.000
S 2.188 0.000 0.000
O 2.188 2.188 2.353

---

Which of them is the least stable? Correct choice: B.

---

A.
5
Lattice="4.353 0.000 0.000 0.000 4.353 0.000 0.000 0.000 3.963" Properties=species:S:1:pos:R:3 comment="PWS2O (GGA+U, optimized geometry)" total_magnetization_mub_per_fu=2.040 dos_ef_per_ev_cell=2.148 pbc="T T T"
P 0.000 0.000 0.000
W 2.177 2.177 0.000
S 0.000 2.177 1.981
S 2.177 0.000 1.981
O 0.000 0.000 1.981

---

B.
5
Lattice="4.585 0.000 0.000 0.000 4.585 0.000 0.000 0.000 4.867" Properties=species:S:1:pos:R:3 comment="PWS2O (GGA+U, optimized geometry)" total_magnetization_mub_per_fu=0.000 dos_ef_per_ev_cell=7.795 pbc="T T T"
P 0.000 0.000 0.000
W 0.000 0.000 2.433
S 0.000 2.292 2.433
S 2.292 0.000 2.433
O 2.292 2.292 0.000

---

Which of them is the least stable? Correct choice: B.

---

A.
5
Lattice="4.744 0.000 0.000 0.000 4.744 0.000 0.000 0.000 4.533" Properties=species:S:1:pos:R:3 comment="P2WSO (GGA+U, optimized geometry)" total_magnetization_mub_per_fu=0.000 dos_ef_per_ev_cell=4.932 pbc="T T T"
P 0.000 2.372 0.000
P 2.372 0.000 0.000
W 0.000 0.000 0.000
S 0.000 0.000 2.267
O 2.372 2.372 2.267

---

B.
5
Lattice="4.840 0.000 0.000 0.000 4.840 0.000 0.000 0.000 3.810" Properties=species:S:1:pos:R:3 comment="P2WSO (GGA+U, optimized geometry)" total_magnetization_mub_per_fu=0.206 dos_ef_per_ev_cell=2.106 pbc="T T T"
P 0.000 2.420 0.000
P 2.420 0.000 0.000
W 0.000 0.000 0.000
S 2.420 2.420 1.905
O 0.000 0.000 1.905

---

Which of them is the least stable? Correct choice: A.